1.
# Dy2CdGa3

A geometry-optimized Dy2CdGa3 structure (GGA-PBE, the Alexandria database).

## Properties
crystal system = orthorhombic
formation energy = -0.535 eV/atom
total magnetic moment = 0.000 μB/f.u.

Structure (CIF):
```
data_Dy2CdGa3
_chemical_formula_sum 'Dy16 Cd8 Ga24'
_symmetry_space_group_name_H-M 'F m m m'
_symmetry_Int_Tables_number 69
_symmetry_space_group_name_Hall '-F 2 2'
_cell_length_a 7.244
_cell_length_b 9.087
_cell_length_c 15.610
_cell_angle_alpha 90.00
_cell_angle_beta 90.00
_cell_angle_gamma 90.00
loop_
_atom_site_label
_atom_site_type_symbol
_atom_site_fract_x
_atom_site_fract_y
_atom_site_fract_z
Dy1 Dy 0.248 0.000 0.000
Dy2 Dy 0.250 0.250 0.250
Cd1 Cd 0.000 0.000 0.334
Ga1 Ga 0.000 0.000 0.163
Ga2 Ga 0.000 0.245 0.082
```

=====

2.
# PmTl2Sb2Au7

A geometry-optimized PmTl2Sb2Au7 structure (GGA-PBE, the Alexandria database).

## Properties
crystal system = monoclinic
total magnetic moment = 0.000 μB/f.u.
E_form (uncorrected) = -0.202 eV per atom

Structure (CIF):
```
data_PmTl2Sb2Au7
_chemical_formula_sum 'Pm2 Tl4 Sb4 Au14'
_symmetry_space_group_name_H-M 'C 1 2/m 1'
_symmetry_Int_Tables_number 12
_symmetry_space_group_name_Hall '-C 2y'
_cell_length_a 6.542
_cell_length_b 6.450
_cell_length_c 14.880
_cell_angle_alpha 90.00
_cell_angle_beta 97.66
_cell_angle_gamma 90.00
loop_
_atom_site_label
_atom_site_type_symbol
_atom_site_fract_x
_atom_site_fract_y
_atom_site_fract_z
Pm1 Pm 0.000 0.000 0.000
Tl1 Tl 0.171 0.500 0.605
Sb1 Sb 0.185 0.500 0.248
Au1 Au 0.000 0.500 0.000
Au2 Au 0.124 0.000 0.580
Au3 Au 0.155 0.279 0.858
```

=====

3.
# Nd3Si8Os3

A geometry-optimized Nd3Si8Os3 structure (GGA-PBE, the Alexandria database).

## Properties
crystal system = orthorhombic
total magnetic moment = 0.000 μB/f.u.
E_form (uncorrected) = -0.440 eV per atom

Structure (CIF):
```
data_Nd3Si8Os3
_chemical_formula_sum 'Nd6 Si16 Os6'
_symmetry_space_group_name_H-M 'I m m m'
_symmetry_Int_Tables_number 71
_symmetry_space_group_name_Hall '-I 2 2'
_cell_length_a 4.176
_cell_length_b 9.881
_cell_length_c 11.792
_cell_angle_alpha 90.00
_cell_angle_beta 90.00
_cell_angle_gamma 90.00
loop_
_atom_site_label
_atom_site_type_symbol
_atom_site_fract_x
_atom_site_fract_y
_atom_site_fract_z
Nd1 Nd 0.000 0.000 0.000
Nd2 Nd 0.000 0.000 0.313
Si1 Si 0.000 0.290 0.120
Si2 Si 0.000 0.365 0.334
Os1 Os 0.000 0.224 0.500
Os2 Os 0.000 0.500 0.000
```

=====

4.
# NpHg2S2

A geometry-optimized NpHg2S2 structure (GGA-PBE, the Alexandria database).

## Properties
crystal system = monoclinic
total magnetic moment = 3.000 μB/f.u.
E_form (uncorrected) = -0.725 eV per atom

Structure (CIF):
```
data_NpHg2S2
_chemical_formula_sum 'Np2 Hg4 S4'
_symmetry_space_group_name_H-M 'C 1 2/m 1'
_symmetry_Int_Tables_number 12
_symmetry_space_group_name_Hall '-C 2y'
_cell_length_a 6.940
_cell_length_b 4.004
_cell_length_c 11.848
_cell_angle_alpha 90.00
_cell_angle_beta 100.36
_cell_angle_gamma 90.00
loop_
_atom_site_label
_atom_site_type_symbol
_atom_site_fract_x
_atom_site_fract_y
_atom_site_fract_z
Np1 Np 0.000 0.000 0.000
Hg1 Hg 0.135 0.000 0.390
S1 S 0.131 0.500 0.885
```

=====

Q: total magnetic moment of number 3 (Nd3Si8Os3)?
A: 0.000 μB/f.u.

=====

Q: Which value of total magnetic moment does entry 2 give?
A: 0.000 μB/f.u.

=====

What did the third record say?
# Nd3Si8Os3

A geometry-optimized Nd3Si8Os3 structure (GGA-PBE, the Alexandria database).

## Properties
crystal system = orthorhombic
total magnetic moment = 0.000 μB/f.u.
E_form (uncorrected) = -0.440 eV per atom

Structure (CIF):
```
data_Nd3Si8Os3
_chemical_formula_sum 'Nd6 Si16 Os6'
_symmetry_space_group_name_H-M 'I m m m'
_symmetry_Int_Tables_number 71
_symmetry_space_group_name_Hall '-I 2 2'
_cell_length_a 4.176
_cell_length_b 9.881
_cell_length_c 11.792
_cell_angle_alpha 90.00
_cell_angle_beta 90.00
_cell_angle_gamma 90.00
loop_
_atom_site_label
_atom_site_type_symbol
_atom_site_fract_x
_atom_site_fract_y
_atom_site_fract_z
Nd1 Nd 0.000 0.000 0.000
Nd2 Nd 0.000 0.000 0.313
Si1 Si 0.000 0.290 0.120
Si2 Si 0.000 0.365 0.334
Os1 Os 0.000 0.224 0.500
Os2 Os 0.000 0.500 0.000
```

=====

Q: What is the formula in the first record?
A: Dy2CdGa3